Compound: LaPIr
Source: Alexandria
Functional: PBE
Structure: relaxed

Summary:
calculated formation energy = -0.52 eV/atom
ρ = 8.82 g/cm3
N(E_F) = 5.738 states/eV/f.u.

```
LaPIr
1.0
-2.7960 3.0539 -1.9690
-4.4550 -0.9602 -0.5010
-3.1204 2.2136 2.5265
Ir P La
1 1 1
Direct
0.7500 0.7500 0.7500
0.5000 0.5000 0.5000
0.0000 0.0000 0.0000
```

Compound: LaPIr
Source: Alexandria
Functional: PBE
Structure: relaxed

Summary:
calculated formation energy = 0.25 eV/atom
ρ = 7.92 g/cm3
N(E_F) = 3.290 states/eV/f.u.

```
LaPIr
1.0
-3.7898 1.2908 2.5629
-3.5664 -3.0684 0.6802
-0.7182 -1.8941 4.3004
Ir P La
1 1 1
Direct
0.5000 0.5000 0.5000
0.0000 0.0000 0.0000
0.7500 0.7500 0.7500
```

Compound: La2PIr
Source: Alexandria
Functional: PBE
Structure: relaxed

Summary:
calculated formation energy = -0.33 eV/atom
ρ = 9.53 g/cm3
N(E_F) = 2.257 states/eV/f.u.

```
La2PIr
1.0
0.0000 3.5205 3.5205
3.5205 0.0000 3.5205
3.5205 3.5205 0.0000
La Ir P
2 1 1
Direct
0.0000 0.0000 0.0000
0.2500 0.2500 0.2500
0.5000 0.5000 0.5000
0.7500 0.7500 0.7500
```

Compound: LaPIr4
Source: Alexandria
Functional: PBE
Structure: relaxed

Summary:
calculated formation energy = 0.02 eV/atom
ρ = 14.43 g/cm3
N(E_F) = 7.759 states/eV/f.u.

```
LaPIr4
1.0
4.2189 -3.2037 0.7177
-0.7208 -5.2476 0.7221
1.4222 -3.4456 -3.8318
Ir P La
4 1 1
Direct
0.3743 0.8772 0.3743
0.3743 0.3743 0.3743
0.8772 0.3743 0.3743
0.3743 0.3743 0.8772
0.0000 0.0000 0.0000
0.7500 0.7500 0.7500
```

Compound: La2PIr
Source: Alexandria
Functional: PBE
Structure: relaxed

Summary:
calculated formation energy = -0.86 eV/atom
ρ = 8.78 g/cm3
N(E_F) = 2.010 states/eV/f.u.

```
La2PIr
1.0
-3.2822 7.3004 -0.3834
-1.1282 -4.1179 -2.7380
-3.5375 0.3233 0.9760
P La Ir
1 2 1
Direct
0.0000 0.5000 0.5000
0.5000 0.0000 0.5000
0.0000 0.0000 0.0000
0.5000 0.5000 0.0000
```

Compound: La2PIr2
Source: Alexandria
Functional: PBE
Structure: relaxed

Summary:
calculated formation energy = -0.18 eV/atom
ρ = 9.76 g/cm3
N(E_F) = 2.585 states/eV/f.u.
offset from the most stable computed form = 414 meV/atom

```
La2PIr2
1.0
-1.8981 0.1338 3.6992
0.8472 -4.0311 0.5806
11.8092 3.3373 5.9387
Ir P La
4 2 4
Direct
0.5000 0.0000 0.1551
0.0000 0.5000 0.8449
0.0000 0.0000 0.5000
0.5000 0.5000 0.5000
0.5000 0.0000 0.8296
0.0000 0.5000 0.1704
0.0000 0.5000 0.6439
0.5000 0.5000 0.0000
0.0000 0.0000 0.0000
0.5000 0.0000 0.3561
```

Which of these has the highest N(E_F)?
LaPIr4

Among the records above, which one has the lowest ρ?
number 2

N(E_F) of number 4 (LaPIr4)?
7.759 states/eV/f.u.

Look up the calculated formation energy of the first one.
-0.52 eV/atom